## 1
SmZn3Au: relaxed, PBE.

**Density of states at the Fermi level**: 4.1 states/eV/cell
**Symmetry**: P2_1/m

abc: 6.1839 5.4387 5.6655
angles: 90.00 88.69 90.00
Sites, in units of the cell vectors:
1 Au 0.5416 0.2500 0.1489
2 Au 0.4584 0.7500 0.8511
3 Zn 0.1160 0.7500 0.5644
4 Zn 0.8396 0.4940 0.8475
5 Zn 0.1604 0.5060 0.1525
6 Zn 0.1604 0.9940 0.1525
7 Zn 0.8396 0.0060 0.8475
8 Zn 0.8840 0.2500 0.4356
9 Sm 0.3316 0.2500 0.6562
10 Sm 0.6684 0.7500 0.3438

---

## 2
SmZn3Au: relaxed, PBE.

**Density of states at the Fermi level**: 4.3 states/eV/cell
**Symmetry**: Cmcm

abc: 5.8710 6.4615 5.8070
angles: 116.70 90.00 90.00
Sites, in units of the cell vectors:
1 Zn 0.5000 0.0000 0.2528
2 Zn 0.0000 0.0000 0.7472
3 Zn 0.5000 0.0000 0.7472
4 Zn 0.0000 0.0000 0.2528
5 Zn 0.2500 0.2590 0.1295
6 Zn 0.7500 0.7410 0.8705
7 Sm 0.7500 0.4990 0.2495
8 Sm 0.2500 0.5010 0.7505
9 Au 0.7500 0.2957 0.6478
10 Au 0.2500 0.7043 0.3522

---

Which of them is most stable, and which least? Most stable: 2; least stable: 1.

---

## 1
SmZrAu: relaxed, PBE.

**Density of states at the Fermi level**: 6.3 states/eV/cell
**Symmetry**: P4/nmm

abc: 4.4976 4.4976 7.4657
angles: 90.00 90.00 90.00
Sites, in units of the cell vectors:
1 Zr 0.5000 0.5000 0.5000
2 Zr 0.0000 0.0000 0.5000
3 Au 0.0000 0.5000 0.2485
4 Au 0.5000 0.0000 0.7515
5 Sm 0.5000 0.0000 0.1403
6 Sm 0.0000 0.5000 0.8597

---

## 2
SmZrAu: relaxed, PBE.

**Density of states at the Fermi level**: 2.7 states/eV/cell
**Symmetry**: P-6m2

abc: 4.1778 4.6635 4.6635
angles: 120.00 90.00 90.00
Sites, in units of the cell vectors:
1 Zr 0.1667 0.0000 0.0000
2 Sm 0.6666 0.6667 0.3333
3 Au 0.1667 0.3333 0.6667

---

## 3
SmZrAu: relaxed, PBE.

**Density of states at the Fermi level**: 4.5 states/eV/cell
**Symmetry**: I4mm

abc: 3.4713 3.4713 6.5735
angles: 105.31 105.31 90.00
Sites, in units of the cell vectors:
1 Zr 0.6875 0.6875 0.3750
2 Sm 0.9975 0.9975 0.9950
3 Au 0.3150 0.3150 0.6300

---

Which of them is most stable, and which least? Most stable: 1; least stable: 2.

---

## 1
SnAu7: relaxed, PBE.

**Density of states at the Fermi level**: 3.9 states/eV/cell
**Symmetry**: Fm-3m

abc: 5.9656 5.9656 5.9656
angles: 60.00 60.00 60.00
Sites, in units of the cell vectors:
1 Au 0.5000 0.0000 0.5000
2 Au 0.5000 0.5000 0.0000
3 Au 0.5000 0.0000 0.0000
4 Au 0.5000 0.5000 0.5000
5 Au 0.0000 0.5000 0.5000
6 Au 0.0000 0.5000 0.0000
7 Au 0.0000 0.0000 0.5000
8 Sn 0.0000 0.0000 0.0000

---

## 2
SnAu7: relaxed, PBE.

**Density of states at the Fermi level**: 1.9 states/eV/cell
**Symmetry**: P-1

abc: 4.2597 5.2279 7.7591
angles: 91.74 74.72 65.91
Sites, in units of the cell vectors:
1 Au 0.5000 0.5000 0.5000
2 Au 0.2442 0.2573 0.2514
3 Au 0.7558 0.7427 0.7486
4 Au 0.3802 0.3738 0.8690
5 Au 0.8704 0.8780 0.3797
6 Au 0.6198 0.6262 0.1310
7 Au 0.1296 0.1220 0.6203
8 Sn 0.0000 0.0000 0.0000

---

Which of them is most stable, and which least? Most stable: 2; least stable: 1.

---

## 1
Sn3Au: relaxed, PBE.

**Density of states at the Fermi level**: 1.9 states/eV/cell
**Symmetry**: Pm-3m

abc: 4.6297 4.6297 4.6297
angles: 90.00 90.00 90.00
Sites, in units of the cell vectors:
1 Sn 0.5000 0.5000 0.0000
2 Sn 0.0000 0.5000 0.5000
3 Sn 0.5000 0.0000 0.5000
4 Au 0.0000 0.0000 0.0000

---

## 2
Sn3Au: relaxed, PBE.

**Density of states at the Fermi level**: 1.1 states/eV/cell
**Symmetry**: I4/mmm

abc: 4.0980 4.0980 6.9317
angles: 107.19 107.19 90.00
Sites, in units of the cell vectors:
1 Sn 0.7838 0.7838 0.5677
2 Sn 0.5000 0.5000 0.0000
3 Sn 0.2162 0.2162 0.4323
4 Au 0.0000 0.0000 0.0000

---

Which of them is most stable, and which least? Most stable: 2; least stable: 1.

---

## 1
Sn3Au: relaxed, PBE.

**Density of states at the Fermi level**: 5.0 states/eV/cell
**Symmetry**: P6_3/mmc

abc: 6.5654 6.5654 5.3515
angles: 90.00 90.00 120.00
Sites, in units of the cell vectors:
1 Sn 0.3427 0.1714 0.7500
2 Sn 0.8286 0.6573 0.7500
3 Sn 0.1714 0.8286 0.2500
4 Sn 0.1714 0.3427 0.2500
5 Sn 0.6573 0.8286 0.2500
6 Sn 0.8286 0.1714 0.7500
7 Au 0.6667 0.3333 0.2500
8 Au 0.3333 0.6667 0.7500

---

## 2
Sn3Au: relaxed, PBE.

**Density of states at the Fermi level**: 1.8 states/eV/cell
**Symmetry**: Imm2

abc: 3.4964 5.8860 6.0946
angles: 118.87 106.67 90.00
Sites, in units of the cell vectors:
1 Au 0.0000 0.0504 0.0000
2 Sn 0.7006 0.0430 0.4012
3 Sn 0.5000 0.4314 0.0000
4 Sn 0.2994 0.6418 0.5988

---

## 3
Sn3Au: relaxed, PBE.

**Density of states at the Fermi level**: 0.7 states/eV/cell
**Symmetry**: Fm-3m

abc: 5.2039 5.2039 5.2039
angles: 60.00 60.00 60.00
Sites, in units of the cell vectors:
1 Sn 0.2500 0.2500 0.2500
2 Sn 0.7500 0.7500 0.7500
3 Sn 0.0000 0.0000 0.0000
4 Au 0.5000 0.5000 0.5000

---

## 4
Sn3Au: relaxed, PBE.

**Density of states at the Fermi level**: 6.9 states/eV/cell
**Symmetry**: I-42m

abc: 5.7465 8.8456 8.8456
angles: 83.94 71.05 71.05
Sites, in units of the cell vectors:
1 Sn 0.1386 0.3614 0.3614
2 Sn 0.4234 0.5953 0.0000
3 Sn 0.1727 0.0000 0.1901
4 Sn 0.0188 0.4047 0.0000
5 Sn 0.5766 0.0000 0.4047
6 Sn 0.3629 0.0000 0.8099
7 Sn 0.5000 0.3614 0.6386
8 Sn 0.8273 0.8099 0.0000
9 Sn 0.6372 0.1901 0.0000
10 Sn 0.9813 0.0000 0.5953
11 Sn 0.8613 0.6386 0.6386
12 Sn 0.5000 0.6386 0.3614
13 Au 0.0000 0.7078 0.2922
14 Au 0.7078 0.2922 0.2922
15 Au 0.0000 0.2922 0.7078
16 Au 0.2922 0.7078 0.7078

---

Which of them is most stable, and which least? Most stable: 4; least stable: 1.

---

## 1
Sn3Au: relaxed, PBE.

**Density of states at the Fermi level**: 1.8 states/eV/cell
**Symmetry**: Pmm2

abc: 3.7024 3.2582 8.6102
angles: 90.00 90.00 90.00
Sites, in units of the cell vectors:
1 Sn 0.5000 0.5000 0.1641
2 Sn 0.0000 0.5000 0.4680
3 Sn 0.5000 0.0000 0.7244
4 Au 0.0000 0.0000 0.9768

---

## 2
Sn3Au: relaxed, PBE.

**Density of states at the Fermi level**: 3.5 states/eV/cell
**Symmetry**: P2_1/m

abc: 3.9451 6.2124 8.3961
angles: 96.58 90.00 90.00
Sites, in units of the cell vectors:
1 Au 0.2500 0.7335 0.3390
2 Au 0.7500 0.2665 0.6610
3 Sn 0.7500 0.9427 0.1390
4 Sn 0.2500 0.0573 0.8610
5 Sn 0.2500 0.2394 0.4154
6 Sn 0.7500 0.4433 0.1434
7 Sn 0.7500 0.7606 0.5846
8 Sn 0.2500 0.5567 0.8566

---

Which of them is most stable, and which least? Most stable: 2; least stable: 1.

---

## 1
Sn3Au8: relaxed, PBE.

**Density of states at the Fermi level**: 2.8 states/eV/cell
**Symmetry**: P-1

abc: 4.7804 5.3283 11.7954
angles: 115.47 74.90 124.12
Sites, in units of the cell vectors:
1 Sn 0.0000 0.0000 0.0000
2 Sn 0.8698 0.7821 0.3472
3 Sn 0.1302 0.2179 0.6528
4 Au 0.7122 0.4371 0.0830
5 Au 0.5456 0.0898 0.8152
6 Au 0.8296 0.6428 0.7274
7 Au 0.3733 0.7341 0.5472
8 Au 0.6267 0.2659 0.4528
9 Au 0.1704 0.3572 0.2726
10 Au 0.2878 0.5629 0.9170
11 Au 0.4544 0.9102 0.1848

---

## 2
Sn3Au8: relaxed, PBE.

**Density of states at the Fermi level**: 3.2 states/eV/cell
**Symmetry**: R-3

abc: 6.5926 6.5926 6.5926
angles: 106.20 106.20 106.20
Sites, in units of the cell vectors:
1 Au 0.6706 0.9640 0.1394
2 Au 0.8606 0.3294 0.0360
3 Au 0.6851 0.6851 0.6851
4 Au 0.1394 0.6706 0.9640
5 Au 0.3149 0.3149 0.3149
6 Au 0.0360 0.8606 0.3294
7 Au 0.3294 0.0360 0.8606
8 Au 0.9640 0.1394 0.6706
9 Sn 0.5000 0.5000 0.0000
10 Sn 0.0000 0.5000 0.5000
11 Sn 0.5000 0.0000 0.5000

---

Which of them is most stable, and which least? Most stable: 1; least stable: 2.

---

## 1
Sn5Au: relaxed, PBE.

**Density of states at the Fermi level**: 2.9 states/eV/cell
**Symmetry**: Cmmm

abc: 4.0176 5.0220 8.1157
angles: 108.02 90.00 90.00
Sites, in units of the cell vectors:
1 Sn 0.0000 0.6778 0.3556
2 Sn 0.0000 0.3222 0.6444
3 Sn 0.5000 0.1410 0.2819
4 Sn 0.5000 0.5000 0.0000
5 Sn 0.5000 0.8590 0.7181
6 Au 0.0000 0.0000 0.0000

---

## 2
Sn5Au: relaxed, PBE.

**Density of states at the Fermi level**: 2.2 states/eV/cell
**Symmetry**: Cmmm

abc: 3.7783 4.4479 9.9692
angles: 90.00 100.92 90.00
Sites, in units of the cell vectors:
1 Sn 0.3758 0.0000 0.7515
2 Sn 0.5000 0.5000 0.0000
3 Sn 0.6242 0.0000 0.2485
4 Sn 0.8128 0.5000 0.6256
5 Sn 0.1872 0.5000 0.3744
6 Au 0.0000 0.0000 0.0000

---

Which of them is most stable, and which least? Most stable: 1; least stable: 2.

---

## 1
Sn4Au: relaxed, PBE.

**Density of states at the Fermi level**: 5.5 states/eV/cell
**Symmetry**: Ccce

abc: 6.8837 6.8837 6.5746
angles: 90.00 90.00 122.81
Sites, in units of the cell vectors:
1 Sn 0.9667 0.7038 0.6698
2 Sn 0.2962 0.0333 0.3302
3 Sn 0.0333 0.2962 0.6698
4 Sn 0.4667 0.2038 0.8302
5 Sn 0.5333 0.7962 0.8302
6 Sn 0.2038 0.4667 0.1698
7 Sn 0.7038 0.9667 0.3302
8 Sn 0.7962 0.5333 0.1698
9 Au 0.0000 0.0000 0.0000
10 Au 0.5000 0.5000 0.5000

---

## 2
Sn4Au: relaxed, PBE.

**Density of states at the Fermi level**: 4.6 states/eV/cell
**Symmetry**: Pm-3m

abc: 5.3955 5.3955 5.3955
angles: 90.00 90.00 90.00
Sites, in units of the cell vectors:
1 Sn 0.5000 0.0000 0.5000
2 Sn 0.0000 0.0000 0.0000
3 Sn 0.0000 0.5000 0.5000
4 Sn 0.5000 0.5000 0.0000
5 Au 0.5000 0.5000 0.5000

---

Which of them is most stable, and which least? Most stable: 1; least stable: 2.

---

## 1
Sr2Sn2Au: relaxed, PBE.

**Density of states at the Fermi level**: 4.1 states/eV/cell
**Symmetry**: C2/m

abc: 4.8887 6.3657 10.7655
angles: 86.61 76.88 67.42
Sites, in units of the cell vectors:
1 Sn 0.0899 0.2649 0.5554
2 Sn 0.3659 0.1534 0.1148
3 Sn 0.6341 0.8466 0.8852
4 Sn 0.9101 0.7351 0.4446
5 Au 0.3871 0.8862 0.3395
6 Au 0.6129 0.1138 0.6605
7 Sr 0.6828 0.3026 0.3318
8 Sr 0.0760 0.7356 0.1124
9 Sr 0.9240 0.2644 0.8876
10 Sr 0.3172 0.6974 0.6682

---

## 2
Sr2Sn2Au: relaxed, PBE.

**Density of states at the Fermi level**: 4.0 states/eV/cell
**Symmetry**: I4/mmm

abc: 6.5502 6.5502 6.2414
angles: 58.35 58.35 90.00
Sites, in units of the cell vectors:
1 Sn 0.3289 0.3289 0.3421
2 Sn 0.6711 0.6711 0.6579
3 Sr 0.2500 0.7500 0.5000
4 Sr 0.7500 0.2500 0.5000
5 Au 0.0000 0.0000 0.0000

---

## 3
Sr2Sn2Au: relaxed, PBE.

**Density of states at the Fermi level**: 4.1 states/eV/cell
**Symmetry**: I4/mmm

abc: 4.1986 4.1986 9.8293
angles: 77.67 77.67 90.00
Sites, in units of the cell vectors:
1 Sn 0.2500 0.7500 0.5000
2 Sn 0.7500 0.2500 0.5000
3 Sr 0.4021 0.4021 0.1958
4 Sr 0.5979 0.5979 0.8042
5 Au 0.0000 0.0000 0.0000

---

Which of them is most stable, and which least? Most stable: 1; least stable: 2.